1.
First-principles (PBE-GGA) data for a relaxed AcCd2Ni2 crystal, as listed in Alexandria via LeMat-Bulk.

abc: 5.549 5.549 5.232
angles: 103.08 103.08 43.90
Sites, in units of the cell vectors:
1 Ac 0.000 0.000 0.000
2 Cd 0.346 0.346 0.428
3 Cd 0.654 0.654 0.572
4 Ni 0.273 0.273 0.895
5 Ni 0.727 0.727 0.105

Crystal system: monoclinic
Symmetry: No. 12
Electronic total energy, eV/cell: -18.7
Density of states at the Fermi level, states/eV/atom: 0.63
Total moment, μB per atom: 0.000

2.
First-principles (PBE-GGA) data for a relaxed LiY2Cd crystal, as listed in Alexandria via LeMat-Bulk.

abc: 10.625 10.625 10.625
angles: 19.13 19.13 19.13
Sites, in units of the cell vectors:
1 Li 0.000 0.000 0.000
2 Y 0.247 0.247 0.247
3 Y 0.753 0.753 0.753
4 Cd 0.500 0.500 0.500

Crystal system: trigonal
Symmetry: No. 166
E above lowest polymorph, meV/atom: 167.8
Electronic total energy, eV/cell: -15.7
Density of states at the Fermi level, states/eV/atom: 1.12
Total moment, μB per atom: 0.000